1.
A relaxed Ho4Sn2Pt crystal, computed with GGA-PBE.

a b c (Å): 11.373 4.551 8.656
angles (deg): 90.00 122.07 90.00
Fractional positions:
Ho 0.074 0.000 0.360
Ho 0.172 0.500 0.064
Ho 0.328 0.000 0.936
Ho 0.426 0.500 0.640
Ho 0.574 0.500 0.360
Ho 0.672 0.000 0.064
Ho 0.828 0.500 0.936
Ho 0.926 0.000 0.640
Sn 0.147 0.500 0.661
Sn 0.353 0.000 0.339
Sn 0.647 0.000 0.661
Sn 0.853 0.500 0.339
Pt 0.000 0.000 0.000
Pt 0.500 0.500 0.000

Calculated values
ΔH_f (0 K) in eV/atom: -0.795

2.
A relaxed CsBiP2S6 crystal, computed with GGA-PBE.

a b c (Å): 7.581 7.581 12.080
angles (deg): 101.91 101.91 103.59
Fractional positions:
Cs 0.059 0.941 0.750
Cs 0.941 0.059 0.250
Bi 0.496 0.504 0.750
Bi 0.504 0.496 0.250
P 0.042 0.430 0.657
P 0.430 0.042 0.157
P 0.570 0.958 0.843
P 0.958 0.570 0.343
S 0.181 0.255 0.576
S 0.199 0.515 0.836
S 0.242 0.743 0.334
S 0.255 0.181 0.076
S 0.257 0.758 0.166
S 0.485 0.801 0.664
S 0.515 0.199 0.336
S 0.743 0.242 0.834
S 0.745 0.819 0.924
S 0.758 0.257 0.666
S 0.801 0.485 0.164
S 0.819 0.745 0.424

Calculated values
Energy relative to the elements, uncorrected in eV per atom: -0.36

3.
A relaxed AcCd4Ag4 crystal, computed with GGA-PBE.

a b c (Å): 6.499 6.499 9.948
angles (deg): 90.00 90.00 90.00
Fractional positions:
Ac 0.250 0.750 0.250
Ac 0.750 0.250 0.750
Cd 0.025 0.250 0.167
Cd 0.250 0.025 0.667
Cd 0.250 0.475 0.667
Cd 0.475 0.250 0.167
Cd 0.525 0.750 0.833
Cd 0.750 0.525 0.333
Cd 0.750 0.975 0.333
Cd 0.975 0.750 0.833
Ag 0.031 0.250 0.460
Ag 0.250 0.031 0.960
Ag 0.250 0.469 0.960
Ag 0.469 0.250 0.460
Ag 0.531 0.750 0.540
Ag 0.750 0.531 0.040
Ag 0.750 0.969 0.040
Ag 0.969 0.750 0.540

Calculated values
ΔH_f (0 K) in eV/atom: -0.116

4.
A relaxed BaCuP crystal, computed with GGA-PBE.

a b c (Å): 4.485 6.153 6.466
angles (deg): 81.72 80.96 68.95
Fractional positions:
Ba 0.000 0.000 0.000
Ba 0.207 0.380 0.430
Cu 0.486 0.815 0.398
Cu 0.711 0.722 0.770
P 0.671 0.578 0.102
P 0.890 0.940 0.508

Calculated values
ΔH_f (0 K) in eV/atom: -0.599

5.
A relaxed TbPm10Er4 crystal, computed with GGA-PBE.

a b c (Å): 9.510 9.510 9.510
angles (deg): 99.57 99.57 131.88
Fractional positions:
Tb 0.000 0.000 0.000
Pm 0.050 0.350 0.899
Pm 0.150 0.050 0.699
Pm 0.250 0.750 0.500
Pm 0.350 0.451 0.301
Pm 0.451 0.150 0.101
Pm 0.549 0.850 0.899
Pm 0.650 0.549 0.699
Pm 0.750 0.250 0.500
Pm 0.850 0.950 0.301
Pm 0.950 0.650 0.101
Er 0.200 0.400 0.600
Er 0.400 0.800 0.200
Er 0.600 0.200 0.800
Er 0.800 0.600 0.400

Calculated values
ΔH_f (0 K) in eV/atom: 0.698

6.
A relaxed Mg5Zn4Pt4 crystal, computed with GGA-PBE.

a b c (Å): 7.720 7.720 7.720
angles (deg): 93.93 93.93 149.64
Fractional positions:
Mg 0.000 0.000 0.000
Mg 0.294 0.371 0.666
Mg 0.371 0.706 0.077
Mg 0.629 0.294 0.923
Mg 0.706 0.629 0.334
Zn 0.108 0.581 0.689
Zn 0.419 0.108 0.527
Zn 0.581 0.892 0.473
Zn 0.892 0.419 0.311
Pt 0.060 0.242 0.302
Pt 0.242 0.940 0.181
Pt 0.758 0.060 0.819
Pt 0.940 0.758 0.698

Calculated values
ΔH_f (0 K) in eV/atom: -0.596